<a>
# CsTl2As2, optimized geometry, DFT PBEsol
# **Total magnetization**: 0.000 μB per atom
# **D(E_F)**: 0.471 states/eV/atom
data_CsTl2As2
_space_group_name_H-M_alt 'I 4/m m m'
_space_group_IT_number 139
_space_group_name_Hall '-I 4 2'
_cell_length_a 5.097
_cell_length_b 5.097
_cell_length_c 11.697
_cell_angle_alpha 90.00
_cell_angle_beta 90.00
_cell_angle_gamma 90.00
loop_
_atom_site_label
_atom_site_type_symbol
_atom_site_fract_x
_atom_site_fract_y
_atom_site_fract_z
Cs1 Cs 0.000 0.000 0.000
Tl1 Tl 0.000 0.500 0.250
As1 As 0.000 0.000 0.395


<b>
# CsTl2As2, optimized geometry, DFT PBEsol
# **Total magnetization**: 0.000 μB per atom
# **D(E_F)**: 0.385 states/eV/atom
data_CsTl2As2
_space_group_name_H-M_alt 'I 4/m m m'
_space_group_IT_number 139
_space_group_name_Hall '-I 4 2'
_cell_length_a 5.165
_cell_length_b 5.165
_cell_length_c 10.932
_cell_angle_alpha 90.00
_cell_angle_beta 90.00
_cell_angle_gamma 90.00
loop_
_atom_site_label
_atom_site_type_symbol
_atom_site_fract_x
_atom_site_fract_y
_atom_site_fract_z
Cs1 Cs 0.000 0.000 0.000
Tl1 Tl 0.000 0.000 0.365
As1 As 0.000 0.500 0.250


Relative stability in kJ/mol of atoms, measured from the most stable structure: <a> 0.0; <b> 10.6


<a>
# CuAs3F, optimized geometry, DFT PBEsol
# **Total magnetization**: 0.000 μB per atom
# **D(E_F)**: 0.706 states/eV/atom
data_CuAs3F
_space_group_name_H-M_alt 'P m -3 m'
_space_group_IT_number 221
_space_group_name_Hall '-P 4 2 3'
_cell_length_a 4.591
_cell_length_b 4.591
_cell_length_c 4.591
_cell_angle_alpha 90.00
_cell_angle_beta 90.00
_cell_angle_gamma 90.00
loop_
_atom_site_label
_atom_site_type_symbol
_atom_site_fract_x
_atom_site_fract_y
_atom_site_fract_z
Cu1 Cu 0.000 0.000 0.000
As1 As 0.000 0.000 0.500
F1 F 0.500 0.500 0.500


<b>
# CuAs3F, optimized geometry, DFT PBEsol
# **Total magnetization**: 0.000 μB per atom
# **D(E_F)**: 0.913 states/eV/atom
data_CuAs3F
_space_group_name_H-M_alt 'P m -3 m'
_space_group_IT_number 221
_space_group_name_Hall '-P 4 2 3'
_cell_length_a 4.428
_cell_length_b 4.428
_cell_length_c 4.428
_cell_angle_alpha 90.00
_cell_angle_beta 90.00
_cell_angle_gamma 90.00
loop_
_atom_site_label
_atom_site_type_symbol
_atom_site_fract_x
_atom_site_fract_y
_atom_site_fract_z
Cu1 Cu 0.000 0.000 0.000
As1 As 0.000 0.500 0.500
F1 F 0.500 0.500 0.500


Relative stability in kJ/mol of atoms, measured from the most stable structure: <a> 0.0; <b> 9.0